Record 1
Compound: Li3La2Ni12Sb
Source: the Alexandria database
Functional: GGA-PBE
Structure: optimized geometry

Computed properties:
The total magnetization is 0.001 μB per formula unit. As for the formation energy from raw total energies: 0.07 eV/atom. For the mass density, the calculation gives 6.732 Mg/m³.

Lattice parameters (Å, degrees): 9.4563 9.4563 9.4563 37.23 37.23 37.23
Closest atoms and distances in Å follow each position.
Element x y z (fractional)
Li 0.0000 0.5000 0.5000  4 Ni 2.27
Li 0.5000 0.0000 0.5000  4 Ni 2.27
Li 0.5000 0.5000 0.0000  4 Ni 2.27
La 0.1366 0.1366 0.1366  6 Ni 2.81-2.95
La 0.8634 0.8634 0.8634  6 Ni 2.81-2.95
Ni 0.0442 0.6272 0.6272  4 Ni 2.41-2.52, 1 Li 2.64, 1 Sb 2.69
Ni 0.0857 0.0857 0.6996  2 Li 2.27, 4 Ni 2.33-2.41
Ni 0.0857 0.6996 0.0857  2 Li 2.27, 4 Ni 2.33-2.41
Ni 0.3004 0.9143 0.9143  2 Li 2.27, 4 Ni 2.33-2.41
Ni 0.3728 0.3728 0.9558  4 Ni 2.41-2.52, 1 Li 2.64, 1 Sb 2.69
Ni 0.3728 0.9558 0.3728  4 Ni 2.41-2.52, 1 Li 2.64, 1 Sb 2.69
Ni 0.6272 0.0442 0.6272  4 Ni 2.41-2.52, 1 Li 2.64, 1 Sb 2.69
Ni 0.6272 0.6272 0.0442  4 Ni 2.41-2.52, 1 Li 2.64, 1 Sb 2.69
Ni 0.6996 0.0857 0.0857  2 Li 2.27, 4 Ni 2.33-2.41
Ni 0.9143 0.3004 0.9143  2 Li 2.27, 4 Ni 2.33-2.41
Ni 0.9143 0.9143 0.3004  2 Li 2.27, 4 Ni 2.33-2.41
Ni 0.9558 0.3728 0.3728  4 Ni 2.41-2.52, 1 Li 2.64, 1 Sb 2.69
Sb 0.5000 0.5000 0.5000  6 Ni 2.69

---

Record 2
Compound: LiLa2Ni4Sb3
Source: the Alexandria database
Functional: GGA-PBE
Structure: optimized geometry

Computed properties:
The total magnetization is 0.000 μB per formula unit. As for the formation energy from raw total energies: -0.67 eV/atom. For the mass density, the calculation gives 7.476 Mg/m³.

Lattice parameters (Å, degrees): 4.4048 4.4048 10.1289 90.00 90.00 90.00
Closest atoms and distances in Å follow each position.
Element x y z (fractional)
Li 0.0000 0.0000 0.0000  4 Ni 2.53
La 0.0000 0.5000 0.7417  8 Ni 3.29-3.40, 6 Sb 3.31-3.42, 2 Li 3.42
La 0.5000 0.0000 0.2583  8 Ni 3.29-3.40, 6 Sb 3.31-3.42, 2 Li 3.42
Ni 0.0000 0.0000 0.5000  4 Sb 2.57
Ni 0.0000 0.5000 0.1228  3 Sb 2.50-2.53, 2 Li 2.53
Ni 0.5000 0.0000 0.8772  3 Sb 2.50-2.53, 2 Li 2.53
Ni 0.5000 0.5000 0.5000  4 Sb 2.57
Sb 0.0000 0.5000 0.3696  5 Ni 2.50-2.57
Sb 0.5000 0.0000 0.6304  5 Ni 2.50-2.57
Sb 0.5000 0.5000 0.0000  4 Ni 2.53

---

Record 3
Compound: LiLaNiSb
Source: the Alexandria database
Functional: GGA-PBE
Structure: optimized geometry

Computed properties:
The total magnetization is 0.000 μB per formula unit. As for the formation energy from raw total energies: -0.54 eV/atom. For the mass density, the calculation gives 6.946 Mg/m³.

Lattice parameters (Å, degrees): 4.7961 4.7961 4.7961 60.00 60.00 60.00
Closest atoms and distances in Å follow each position.
Element x y z (fractional)
Li 0.0000 0.0000 0.0000  4 Sb 2.94, 4 La 2.94
La 0.2500 0.2500 0.2500  4 Ni 2.94, 4 Li 2.94
Ni 0.5000 0.5000 0.5000  4 La 2.94, 4 Sb 2.94
Sb 0.7500 0.7500 0.7500  4 Ni 2.94, 4 Li 2.94

---

Record 4
Compound: LiLaScNi
Source: the Alexandria database
Functional: GGA-PBE
Structure: optimized geometry

Computed properties:
The total magnetization is 0.000 μB per formula unit. The calculation puts the energy of formation at -0.06 eV/atom. For the mass density, the calculation gives 4.927 Mg/m³.

Lattice parameters (Å, degrees): 4.9174 4.9174 4.9174 60.00 60.00 60.00
Closest atoms and distances in Å follow each position.
Element x y z (fractional)
Li 0.0000 0.0000 0.0000  4 La 3.01, 4 Sc 3.01
La 0.7500 0.7500 0.7500  4 Li 3.01, 4 Ni 3.01
Sc 0.2500 0.2500 0.2500  4 Li 3.01, 4 Ni 3.01
Ni 0.5000 0.5000 0.5000  4 La 3.01, 4 Sc 3.01

---

Record 5
Compound: LiLaNi2Se
Source: the Alexandria database
Functional: GGA-PBE
Structure: optimized geometry

Computed properties:
The total magnetization is 0.000 μB per formula unit. As for the formation energy from raw total energies: -0.21 eV/atom. For the mass density, the calculation gives 6.001 Mg/m³.

Lattice parameters (Å, degrees): 4.6056 4.6056 4.4637 90.00 90.00 90.00
Closest atoms and distances in Å follow each position.
Element x y z (fractional)
Li 0.0000 0.0000 0.0000  2 Se 2.23
La 0.5000 0.5000 0.0000  8 Ni 3.21, 4 Li 3.26
Ni 0.0000 0.5000 0.5000  2 Se 2.30
Ni 0.5000 0.0000 0.5000  2 Se 2.30
Se 0.0000 0.0000 0.5000  2 Li 2.23, 4 Ni 2.30

---

Record 6
Compound: LiLaSiNi
Source: the Alexandria database
Functional: GGA-PBE
Structure: optimized geometry

Computed properties:
The total magnetization is 0.000 μB per formula unit. As for the formation energy from raw total energies: -0.41 eV/atom. For the mass density, the calculation gives 5.627 Mg/m³.

Lattice parameters (Å, degrees): 4.5959 4.5959 4.5959 60.00 60.00 60.00
Closest atoms and distances in Å follow each position.
Element x y z (fractional)
Li 0.0000 0.0000 0.0000  4 La 2.81, 4 Si 2.81
La 0.2500 0.2500 0.2500  4 Li 2.81, 4 Ni 2.81
Si 0.7500 0.7500 0.7500  4 Li 2.81, 4 Ni 2.81
Ni 0.5000 0.5000 0.5000  4 La 2.81, 4 Si 2.81

---

Record 7
Compound: LiLaSiNi6
Source: the Alexandria database
Functional: GGA-PBE
Structure: optimized geometry

Computed properties:
The total magnetization is 0.000 μB per formula unit. As for the formation energy from raw total energies: -0.12 eV/atom. For the mass density, the calculation gives 6.783 Mg/m³.

Lattice parameters (Å, degrees): 8.1311 8.1311 8.1311 143.23 125.67 67.40
Closest atoms and distances in Å follow each position.
Element x y z (fractional)
Li 0.0000 0.0000 0.0000  6 Ni 2.43-2.51
Li 0.5000 0.0000 0.5000  6 Ni 2.43-2.51
La 0.2544 0.5044 0.7500  10 Ni 2.97-3.16, 4 Li 3.17
La 0.7456 0.4956 0.2500  10 Ni 2.97-3.16, 4 Li 3.17
Si 0.5000 0.0000 0.0000  6 Ni 2.23-2.36
Si 0.5000 0.5000 0.5000  6 Ni 2.23-2.36
Ni 0.0012 0.2512 0.7500  10 Ni 2.45-2.56
Ni 0.1383 0.4103 0.2313  1 Si 2.36, 6 Ni 2.45-2.58, 1 Li 2.51
Ni 0.1383 0.9071 0.7281  1 Si 2.36, 6 Ni 2.45-2.58, 1 Li 2.51
Ni 0.3210 0.0929 0.7313  1 Si 2.36, 6 Ni 2.45-2.58, 1 Li 2.51
Ni 0.3210 0.5897 0.2281  1 Si 2.36, 6 Ni 2.45-2.58, 1 Li 2.51
Ni 0.3655 0.1155 0.2500  2 Si 2.23, 2 Li 2.43, 4 Ni 2.46
Ni 0.6345 0.8845 0.7500  2 Si 2.23, 2 Li 2.43, 4 Ni 2.46
Ni 0.6790 0.4103 0.7719  1 Si 2.36, 6 Ni 2.45-2.58, 1 Li 2.51
Ni 0.6790 0.9071 0.2687  1 Si 2.36, 6 Ni 2.45-2.58, 1 Li 2.51
Ni 0.8617 0.0929 0.2719  1 Si 2.36, 6 Ni 2.45-2.58, 1 Li 2.51
Ni 0.8617 0.5897 0.7687  1 Si 2.36, 6 Ni 2.45-2.58, 1 Li 2.51
Ni 0.9988 0.7488 0.2500  10 Ni 2.45-2.56

---

Record 8
Compound: LiLaSi2Ni
Source: the Alexandria database
Functional: GGA-PBE
Structure: optimized geometry

Computed properties:
The total magnetization is 0.000 μB per formula unit. As for the formation energy from raw total energies: -0.62 eV/atom. For the mass density, the calculation gives 5.032 Mg/m³.

Lattice parameters (Å, degrees): 5.7191 5.7191 5.7191 136.98 136.98 62.47
Closest atoms and distances in Å follow each position.
Element x y z (fractional)
Li 0.0000 0.0000 0.0000  4 Si 2.43
La 0.2500 0.7500 0.5000  8 Si 3.20, 4 Li 3.22, 4 Ni 3.22
Si 0.6264 0.1264 0.5000  1 Si 2.42, 2 Li 2.43, 2 Ni 2.43
Si 0.8736 0.3736 0.5000  1 Si 2.42, 2 Li 2.43, 2 Ni 2.43
Ni 0.5000 0.5000 0.0000  4 Si 2.43

---

Record 9
Compound: LiLa2Si3Ni12
Source: the Alexandria database
Functional: GGA-PBE
Structure: optimized geometry

Computed properties:
The total magnetization is 0.000 μB per formula unit. As for the formation energy from raw total energies: -0.15 eV/atom. For the mass density, the calculation gives 7.268 Mg/m³.

Lattice parameters (Å, degrees): 6.2930 6.2930 6.2930 83.88 83.88 83.88
Closest atoms and distances in Å follow each position.
Element x y z (fractional)
Li 0.0000 0.0000 0.0000  6 Ni 2.36
La 0.3616 0.3616 0.3616  9 Ni 2.51-2.80
La 0.6384 0.6384 0.6384  9 Ni 2.51-2.80
Si 0.0000 0.0000 0.5000  6 Ni 2.30-2.44
Si 0.0000 0.5000 0.0000  6 Ni 2.30-2.44
Si 0.5000 0.0000 0.0000  6 Ni 2.30-2.44
Ni 0.0859 0.6218 0.6218  2 Ni 2.39-2.66, 2 Si 2.44
Ni 0.1857 0.1857 0.7035  1 Si 2.30, 1 Li 2.36, 3 Ni 2.39-2.42, 1 La 2.51
Ni 0.1857 0.7035 0.1857  1 Si 2.30, 1 Li 2.36, 3 Ni 2.39-2.42, 1 La 2.51
Ni 0.2965 0.8143 0.8143  1 Si 2.30, 1 Li 2.36, 3 Ni 2.39-2.42, 1 La 2.51
Ni 0.3782 0.3782 0.9141  2 Ni 2.39-2.66, 2 Si 2.44
Ni 0.3782 0.9141 0.3782  2 Ni 2.39-2.66, 2 Si 2.44
Ni 0.6218 0.0859 0.6218  2 Ni 2.39-2.66, 2 Si 2.44
Ni 0.6218 0.6218 0.0859  2 Ni 2.39-2.66, 2 Si 2.44
Ni 0.7035 0.1857 0.1857  1 Si 2.30, 1 Li 2.36, 3 Ni 2.39-2.42, 1 La 2.51
Ni 0.8143 0.2965 0.8143  1 Si 2.30, 1 Li 2.36, 3 Ni 2.39-2.42, 1 La 2.51
Ni 0.8143 0.8143 0.2965  1 Si 2.30, 1 Li 2.36, 3 Ni 2.39-2.42, 1 La 2.51
Ni 0.9141 0.3782 0.3782  2 Ni 2.39-2.66, 2 Si 2.44

---

Record 10
Compound: Li2La3Ni2Sn7
Source: the Alexandria database
Functional: GGA-PBE
Structure: optimized geometry

Computed properties:
The total magnetization is 0.000 μB per formula unit. The calculation puts the energy of formation at -0.38 eV/atom. For the mass density, the calculation gives 6.966 Mg/m³.

Lattice parameters (Å, degrees): 14.1486 14.1486 4.5376 90.00 90.00 158.78
Closest atoms and distances in Å follow each position.
Element x y z (fractional)
Li 0.1757 0.8243 0.0000  3 Sn 2.55-2.61, 2 Ni 2.61, 2 La 2.62
Li 0.8243 0.1757 0.0000  3 Sn 2.55-2.61, 2 Ni 2.61, 2 La 2.62
La 0.0000 0.0000 0.5000  8 Sn 3.26-3.45, 2 Ni 3.59
La 0.3127 0.6873 0.0000  2 Li 2.62
La 0.6873 0.3127 0.0000  2 Li 2.62
Ni 0.1292 0.8708 0.5000  5 Sn 2.59-2.80, 2 Li 2.61
Ni 0.8708 0.1292 0.5000  5 Sn 2.59-2.80, 2 Li 2.61
Sn 0.0842 0.9158 0.0000  1 Li 2.55, 2 Ni 2.59
Sn 0.2223 0.7777 0.5000  1 Ni 2.59, 2 Li 2.61
Sn 0.4077 0.5923 0.5000  2 Ni 2.80
Sn 0.5000 0.5000 0.0000  8 Sn 3.43-3.50, 4 La 3.45
Sn 0.5923 0.4077 0.5000  2 Ni 2.80
Sn 0.7777 0.2223 0.5000  1 Ni 2.59, 2 Li 2.61
Sn 0.9158 0.0842 0.0000  1 Li 2.55, 2 Ni 2.59

---

Record 11
Compound: LiLaNiSn2
Source: the Alexandria database
Functional: GGA-PBE
Structure: optimized geometry

Computed properties:
The total magnetization is 0.000 μB per formula unit. The calculation puts the energy of formation at -0.54 eV/atom. For the mass density, the calculation gives 6.665 Mg/m³.

Lattice parameters (Å, degrees): 6.3166 6.3166 6.3166 138.36 138.36 60.36
Closest atoms and distances in Å follow each position.
Element x y z (fractional)
Li 0.0000 0.0000 0.0000  4 Sn 2.59
La 0.7500 0.2500 0.5000  8 Sn 3.49, 4 Li 3.53, 4 Ni 3.53
Ni 0.5000 0.5000 0.0000  4 Sn 2.59
Sn 0.1183 0.6183 0.5000  2 Li 2.59, 2 Ni 2.59, 1 Sn 2.88
Sn 0.3817 0.8817 0.5000  2 Li 2.59, 2 Ni 2.59, 1 Sn 2.88

---

Record 12
Compound: LiLa2Ni2Sn7
Source: the Alexandria database
Functional: GGA-PBE
Structure: optimized geometry

Computed properties:
The total magnetization is 0.000 μB per formula unit. The calculation puts the energy of formation at -0.39 eV/atom. For the mass density, the calculation gives 6.981 Mg/m³.

Lattice parameters (Å, degrees): 4.4649 4.4649 14.7941 94.20 94.20 90.23
Closest atoms and distances in Å follow each position.
Element x y z (fractional)
Li 0.0000 0.0000 0.0000  12 Sn 3.15-3.45
La 0.1297 0.1297 0.3457  4 Ni 3.20-3.45, 8 Sn 3.22-3.48
La 0.8703 0.8703 0.6543  4 Ni 3.20-3.45, 8 Sn 3.22-3.48
Ni 0.4083 0.4083 0.7268  5 Sn 2.53-2.73
Ni 0.5917 0.5917 0.2732  5 Sn 2.53-2.73
Sn 0.0698 0.5801 0.1681  2 Ni 2.70-2.73
Sn 0.3237 0.3237 0.5557  1 Ni 2.53
Sn 0.4199 0.9302 0.8319  2 Ni 2.70-2.73
Sn 0.5000 0.5000 0.0000  4 Li 3.15-3.16, 8 Sn 3.25-3.42
Sn 0.5801 0.0698 0.1681  2 Ni 2.70-2.73
Sn 0.6763 0.6763 0.4443  1 Ni 2.53
Sn 0.9302 0.4199 0.8319  2 Ni 2.70-2.73